No. 1
# Li2Sc2SnGePd2 GGA-PBE relaxed
data_Li2Sc2SnGePd2
_symmetry_space_group_name_H-M 'P -4 m 2'
_symmetry_Int_Tables_number 115
_cell_length_a 4.525
_cell_length_b 4.525
_cell_length_c 6.433
_cell_angle_alpha 90.00
_cell_angle_beta 90.00
_cell_angle_gamma 90.00
loop_
_symmetry_equiv_pos_as_xyz
'x,y,z'
'y,-x,-z'
'-x,-y,z'
'-y,x,-z'
'-x,y,z'
'-y,-x,-z'
'x,-y,z'
'y,x,-z'
loop_
_atom_site_label
_atom_site_type_symbol
_atom_site_fract_x
_atom_site_fract_y
_atom_site_fract_z
Li1 Li 0.000 0.500 0.235
Sc1 Sc 0.000 0.000 0.000
Sc2 Sc 0.500 0.500 0.500
Sn1 Sn 0.000 0.000 0.500
Ge1 Ge 0.500 0.500 0.000
Pd1 Pd 0.000 0.500 0.761
# Volume (Å³/f.u.): 131.7
# DFT total energy (eV per cell): -41.6
# Mass density (kg/m³): 6404

No. 2
# Li2SiGePd2 GGA-PBE relaxed
data_Li2SiGePd2
_symmetry_space_group_name_H-M 'P -6 m 2'
_symmetry_Int_Tables_number 187
_symmetry_space_group_name_Hall 'P -6 2'
_cell_length_a 4.3234
_cell_length_b 4.3234
_cell_length_c 5.3319
_cell_angle_alpha 90.00
_cell_angle_beta 90.00
_cell_angle_gamma 120.00
loop_
_atom_site_label
_atom_site_type_symbol
_atom_site_fract_x
_atom_site_fract_y
_atom_site_fract_z
Li1 Li 0.0000 0.0000 0.2480
Si1 Si 0.3333 0.6667 0.0000
Ge1 Ge 0.6667 0.3333 0.5000
Pd1 Pd 0.3333 0.6667 0.5000
Pd2 Pd 0.6667 0.3333 0.0000
# Volume (Å³/f.u.): 86.3
# DFT total energy (eV per cell): -27.5
# Mass density (kg/m³): 6300

Question: The highest DFT total energy belongs to which entry?
Answer: Li2SiGePd2